Entry 1:
Pm4InHg3, relaxed, DFT PBE-GGA; energy of formation = -476 meV/atom; magnetic moment = 1.29 μB per formula unit; density of states at the Fermi level = 9.986 states/eV/cell; total DFT energy (no corrections) = -0.24306 Ry per atom
1.0
3.790 0.000 0.000
0.000 3.790 0.000
0.000 0.000 15.557
Pm In Hg
4 1 3
direct
0.000 0.000 0.123
0.000 0.000 0.371
0.000 0.000 0.629
0.000 0.000 0.877
0.500 0.500 0.500
0.500 0.500 0.000
0.500 0.500 0.248
0.500 0.500 0.752

---

Entry 2:
PmIn2Hg3, relaxed, DFT PBE-GGA; energy of formation = -209 meV/atom; magnetic moment = 0.00 μB per formula unit; ΔE to the lowest computed polymorph = 0 meV/atom; density of states at the Fermi level = 5.530 states/eV/cell; total DFT energy (no corrections) = -0.15171 Ry per atom
1.0
8.816 -2.498 0.000
8.816 2.498 0.000
-2.767 0.000 7.084
Pm In Hg
2 4 6
direct
0.093 0.093 0.420
0.907 0.907 0.580
0.246 0.246 0.860
0.435 0.435 0.303
0.565 0.565 0.697
0.754 0.754 0.140
0.085 0.085 0.940
0.277 0.277 0.396
0.412 0.412 0.836
0.588 0.588 0.164
0.723 0.723 0.604
0.915 0.915 0.060

---

Entry 3:
PmIn6Hg, relaxed, DFT PBE-GGA; energy of formation = -158 meV/atom; magnetic moment = 0.00 μB per formula unit; density of states at the Fermi level = 5.514 states/eV/cell; total DFT energy (no corrections) = -0.20899 Ry per atom
1.0
4.882 -4.886 0.000
4.882 4.886 0.000
0.000 0.000 4.420
Pm In Hg
1 6 1
direct
0.000 0.000 0.000
0.000 0.500 0.000
0.259 0.741 0.500
0.260 0.260 0.500
0.500 0.000 0.000
0.740 0.740 0.500
0.741 0.259 0.500
0.500 0.500 0.000